The following is a GGA-PBE calculation of crystalline LiSiTe2 at its relaxed geometry, from Alexandria.

The structure in POSCAR format:
```
LiSiTe2
1.0
6.695 0.000 0.000
0.000 3.940 0.000
-0.014 0.000 7.256
Li Si Te
2 2 4
Direct
0.000 0.000 0.000
0.500 0.000 0.000
0.000 0.500 0.500
0.500 0.500 0.500
0.250 0.000 0.338
0.250 0.500 0.810
0.750 0.000 0.662
0.750 0.500 0.190
```

Calculated values
Formation energy (no corrections): -282 meV per atom
Density of states at the Fermi level: 1.19 states/eV/f.u.
Relative energy among the computed polymorphs: 15 meV/atom
Spin magnetization: 0.0 μB/f.u.